Material: Ta2Cd
Method: DFT, PBE
State: relaxed

## Properties
Calculated formation energy   295 meV/atom

a b c (Å): 2.9386 2.9386 7.7112
angles (deg): 90.00 90.00 120.00
Space group P-3m1 (No. 164)
Inequivalent atoms, fractional coordinates:
1 Ta 0.3333 0.6667 0.3352 (multiplicity 2)
2 Cd 0.0000 0.0000 0.0000 (multiplicity 1)



Material: ScNbAlTc
Method: DFT, PBE
State: relaxed

## Properties
Calculated formation energy   -329 meV/atom

a b c (Å): 6.495 6.495 6.495
angles (deg): 90.00 90.00 90.00
Space group F-43m (No. 216)
Inequivalent atoms, fractional coordinates:
1 Sc 0.000 0.000 0.000 (multiplicity 4)
2 Nb 0.000 0.000 0.500 (multiplicity 4)
3 Al 0.250 0.250 0.250 (multiplicity 4)
4 Tc 0.250 0.250 0.750 (multiplicity 4)



Material: Ac4TbS7
Method: DFT, PBE
State: relaxed

## Properties
Formation energy without anion corrections   -2.124 eV/atom

a b c (Å): 13.964 4.144 12.186
angles (deg): 90.00 105.66 90.00
Space group Cm (No. 8)
Inequivalent atoms, fractional coordinates:
1 Ac 0.000 0.000 0.000 (multiplicity 2)
2 Ac 0.092 0.500 0.375 (multiplicity 2)
3 Ac 0.197 0.000 0.769 (multiplicity 2)
4 Ac 0.392 0.500 0.563 (multiplicity 2)
5 Tb 0.277 0.500 0.145 (multiplicity 2)
6 S 0.053 0.500 0.620 (multiplicity 2)
7 S 0.132 0.500 0.932 (multiplicity 2)
8 S 0.166 0.000 0.217 (multiplicity 2)
9 S 0.231 0.000 0.520 (multiplicity 2)
10 S 0.351 0.500 0.784 (multiplicity 2)
11 S 0.372 0.000 0.064 (multiplicity 2)
12 S 0.431 0.500 0.338 (multiplicity 2)



Material: Ce5Er
Method: DFT, PBE
State: relaxed

## Properties
Calculated formation energy   69 meV/atom

a b c (Å): 4.754 14.433 4.770
angles (deg): 90.00 90.00 90.00
Space group Cmmm (No. 65)
Inequivalent atoms, fractional coordinates:
1 Ce 0.000 0.000 0.000 (multiplicity 2)
2 Ce 0.000 0.171 0.500 (multiplicity 4)
3 Ce 0.000 0.333 0.000 (multiplicity 4)
4 Er 0.000 0.500 0.500 (multiplicity 2)



Material: BeNiSbTe2
Method: DFT, PBE
State: relaxed

## Properties
Energy relative to the lowest polymorph listed for this composition   34 meV per atom
Formation energy without anion corrections   0.784 eV/atom

a b c (Å): 4.986 4.986 4.686
angles (deg): 90.00 90.00 90.00
Space group P4/mmm (No. 123)
Inequivalent atoms, fractional coordinates:
1 Be 0.000 0.000 0.000 (multiplicity 1)
2 Ni 0.500 0.500 0.500 (multiplicity 1)
3 Sb 0.000 0.000 0.500 (multiplicity 1)
4 Te 0.000 0.500 0.000 (multiplicity 2)



Material: Ta3AuF
Method: DFT, PBE
State: relaxed

## Properties
Energy relative to the lowest polymorph listed for this composition   0 meV per atom
Formation energy without anion corrections   0.200 eV/atom

a b c (Å): 4.321 4.321 4.321
angles (deg): 90.00 90.00 90.00
Space group Pm-3m (No. 221)
Inequivalent atoms, fractional coordinates:
1 Ta 0.000 0.000 0.500 (multiplicity 3)
2 Au 0.500 0.500 0.500 (multiplicity 1)
3 F 0.000 0.000 0.000 (multiplicity 1)